Record 1
# Th3Si2Tc, optimized geometry, DFT PBE
data_Th3Si2Tc
_space_group_name_H-M_alt 'P n m a'
_space_group_IT_number 62
_space_group_name_Hall '-P 2ac 2n'
_cell_length_a 11.864
_cell_length_b 4.302
_cell_length_c 11.472
_cell_angle_alpha 90.00
_cell_angle_beta 90.00
_cell_angle_gamma 90.00
loop_
_atom_site_label
_atom_site_fract_x
_atom_site_fract_y
_atom_site_fract_z
Th1 0.053 0.250 0.122
Th2 0.121 0.750 0.562
Th3 0.214 0.250 0.800
Si1 0.022 0.750 0.317
Si2 0.197 0.750 0.001
Tc1 0.131 0.250 0.360
# calculated total energy	-7.812	eV/atom
# crystal system	orthorhombic
# offset from the most stable computed form	0	meV per atom
# formation energy without anion corrections	-567.0	meV per atom

Record 2
# Th3Si8Tc3, optimized geometry, DFT PBE
data_Th3Si8Tc3
_space_group_name_H-M_alt 'I m m m'
_space_group_IT_number 71
_space_group_name_Hall '-I 2 2'
_cell_length_a 4.213
_cell_length_b 10.081
_cell_length_c 11.723
_cell_angle_alpha 90.00
_cell_angle_beta 90.00
_cell_angle_gamma 90.00
loop_
_atom_site_label
_atom_site_fract_x
_atom_site_fract_y
_atom_site_fract_z
Th1 0.000 0.000 0.000
Th2 0.000 0.000 0.319
Si1 0.000 0.284 0.120
Si2 0.000 0.362 0.333
Tc1 0.000 0.222 0.500
Tc2 0.000 0.500 0.000
# calculated total energy	-7.415	eV/atom
# crystal system	orthorhombic
# formation energy without anion corrections	-505.4	meV per atom

Record 3
# ThTiSi2Tc, optimized geometry, DFT PBE
data_ThTiSi2Tc
_space_group_name_H-M_alt 'I -4 m 2'
_space_group_IT_number 119
_space_group_name_Hall 'I -4 -2'
_cell_length_a 4.078
_cell_length_b 4.078
_cell_length_c 11.002
_cell_angle_alpha 90.00
_cell_angle_beta 90.00
_cell_angle_gamma 90.00
loop_
_atom_site_label
_atom_site_fract_x
_atom_site_fract_y
_atom_site_fract_z
Th1 0.000 0.000 0.000
Ti1 0.000 0.500 0.750
Si1 0.000 0.000 0.387
Tc1 0.000 0.500 0.250
# calculated total energy	-8.065	eV/atom
# crystal system	tetragonal
# formation energy without anion corrections	-759.4	meV per atom

Record 4
# ThVSi2Tc, optimized geometry, DFT PBE
data_ThVSi2Tc
_space_group_name_H-M_alt 'I -4 m 2'
_space_group_IT_number 119
_space_group_name_Hall 'I -4 -2'
_cell_length_a 4.043
_cell_length_b 4.043
_cell_length_c 10.836
_cell_angle_alpha 90.00
_cell_angle_beta 90.00
_cell_angle_gamma 90.00
loop_
_atom_site_label
_atom_site_fract_x
_atom_site_fract_y
_atom_site_fract_z
Th1 0.000 0.000 0.000
V1 0.000 0.500 0.250
Si1 0.000 0.000 0.383
Tc1 0.000 0.500 0.750
# calculated total energy	-8.181	eV/atom
# crystal system	tetragonal
# formation energy without anion corrections	-630.6	meV per atom

Record 5
# ThSi2TcW, optimized geometry, DFT PBE
data_ThSi2TcW
_space_group_name_H-M_alt 'I -4 m 2'
_space_group_IT_number 119
_space_group_name_Hall 'I -4 -2'
_cell_length_a 4.112
_cell_length_b 4.112
_cell_length_c 10.765
_cell_angle_alpha 90.00
_cell_angle_beta 90.00
_cell_angle_gamma 90.00
loop_
_atom_site_label
_atom_site_fract_x
_atom_site_fract_y
_atom_site_fract_z
Th1 0.000 0.000 0.000
Si1 0.000 0.000 0.384
Tc1 0.000 0.500 0.250
W1 0.000 0.500 0.750
# calculated total energy	-8.793	eV/atom
# crystal system	tetragonal
# formation energy without anion corrections	-476.0	meV per atom

Record 6
# Ti2Si2Tc, optimized geometry, DFT PBE
data_Ti2Si2Tc
_space_group_name_H-M_alt 'P 4/m b m'
_space_group_IT_number 127
_space_group_name_Hall '-P 4 2ab'
_cell_length_a 6.409
_cell_length_b 6.409
_cell_length_c 3.550
_cell_angle_alpha 90.00
_cell_angle_beta 90.00
_cell_angle_gamma 90.00
loop_
_atom_site_label
_atom_site_fract_x
_atom_site_fract_y
_atom_site_fract_z
Ti1 0.169 0.331 0.000
Si1 0.132 0.632 0.500
Tc1 0.000 0.000 0.500
# calculated total energy	-8.163	eV/atom
# crystal system	tetragonal
# formation energy without anion corrections	-763.1	meV per atom

Copy entry 2 word for word.
# Th3Si8Tc3, optimized geometry, DFT PBE
data_Th3Si8Tc3
_space_group_name_H-M_alt 'I m m m'
_space_group_IT_number 71
_space_group_name_Hall '-I 2 2'
_cell_length_a 4.213
_cell_length_b 10.081
_cell_length_c 11.723
_cell_angle_alpha 90.00
_cell_angle_beta 90.00
_cell_angle_gamma 90.00
loop_
_atom_site_label
_atom_site_fract_x
_atom_site_fract_y
_atom_site_fract_z
Th1 0.000 0.000 0.000
Th2 0.000 0.000 0.319
Si1 0.000 0.284 0.120
Si2 0.000 0.362 0.333
Tc1 0.000 0.222 0.500
Tc2 0.000 0.500 0.000
# calculated total energy	-7.415	eV/atom
# crystal system	orthorhombic
# formation energy without anion corrections	-505.4	meV per atom

Which of these has the lowest calculated total energy? ThSi2TcW

Which value of calculated total energy does entry 6 give? -8.163 eV/atom